1.
{
  "formula": "SiTc2Br",
  "functional": "PBE",
  "state": "relaxed",
  "cell": [[-0.220, 2.270, -5.326], [1.576, -2.348, -5.056], [-3.108, -0.353, 4.877]],
  "species": ["Br", "Si", "Tc", "Tc"],
  "frac_coords": [[0.465, 0.465, 0.000], [0.217, 0.717, 0.500], [0.040, 0.040, 0.000], [0.777, 0.277, 0.500]],
  "total_energy_ev_per_atom": -6.490,
  "magmom_total_mub_per_fu": 0.00,
  "formation_energy_uncorrected_kj_per_mol_fu": 180,
  "spacegroup": "Imm2 (44)"
}


2.
{
  "formula": "SiTcBr2",
  "functional": "PBE",
  "state": "relaxed",
  "cell": [[-3.035, 0.139, 1.668], [2.168, -1.489, 7.145], [0.108, 8.348, 2.960]],
  "species": ["Si", "Si", "Tc", "Tc", "Br", "Br", "Br", "Br"],
  "frac_coords": [[0.736, 0.457, 0.231], [0.306, 0.515, 0.038], [0.718, 0.728, 0.042], [0.340, 0.245, 0.220], [0.938, 0.060, 0.045], [0.562, 0.721, 0.352], [0.818, 0.791, 0.760], [0.195, 0.215, 0.500]],
  "total_energy_ev_per_atom": -4.874,
  "magmom_total_mub_per_fu": 0.00,
  "formation_energy_uncorrected_kj_per_mol_fu": -35,
  "spacegroup": "P1 (1)"
}


3.
{
  "formula": "SiTcBr2",
  "functional": "PBE",
  "state": "relaxed",
  "cell": [[3.229, 0.000, 0.000], [0.000, 5.819, 0.000], [0.000, 0.000, 4.493]],
  "species": ["Br", "Br", "Si", "Tc"],
  "frac_coords": [[0.000, 0.000, 0.000], [0.500, 0.500, 0.000], [0.500, 0.000, 0.500], [0.000, 0.500, 0.500]],
  "total_energy_ev_per_atom": -3.969,
  "magmom_total_mub_per_fu": 2.86,
  "formation_energy_uncorrected_kj_per_mol_fu": 314,
  "spacegroup": "Pmmm (47)"
}


4.
{
  "formula": "Si2TcBr",
  "functional": "PBE",
  "state": "relaxed",
  "cell": [[-2.406, -2.158, 2.594], [-0.973, -4.020, 0.264], [4.336, -2.340, 4.536]],
  "species": ["Br", "Si", "Si", "Tc"],
  "frac_coords": [[0.246, 0.246, 0.324], [0.006, 0.006, 0.872], [0.756, 0.756, 0.721], [0.491, 0.491, 0.583]],
  "total_energy_ev_per_atom": -5.507,
  "magmom_total_mub_per_fu": 0.00,
  "formation_energy_uncorrected_kj_per_mol_fu": 83,
  "spacegroup": "Cm (8)"
}


5.
{
  "formula": "SiTcBr2",
  "functional": "PBE",
  "state": "relaxed",
  "cell": [[7.224, 0.000, -0.005], [0.000, 3.468, 0.000], [-1.609, 0.000, 8.152]],
  "species": ["Si", "Si", "Tc", "Tc", "Br", "Br", "Br", "Br"],
  "frac_coords": [[0.434, 0.250, 0.074], [0.566, 0.750, 0.926], [0.769, 0.250, 0.050], [0.231, 0.750, 0.950], [0.939, 0.250, 0.804], [0.061, 0.750, 0.196], [0.645, 0.250, 0.330], [0.355, 0.750, 0.670]],
  "total_energy_ev_per_atom": -5.017,
  "magmom_total_mub_per_fu": 0.00,
  "formation_energy_uncorrected_kj_per_mol_fu": -90,
  "spacegroup": "P2_1/m (11)"
}


6.
{
  "formula": "Si2TcBr",
  "functional": "PBE",
  "state": "relaxed",
  "cell": [[4.654, -0.004, 0.000], [-1.369, 4.448, 0.000], [0.000, 0.000, 3.049]],
  "species": ["Br", "Si", "Si", "Tc"],
  "frac_coords": [[0.000, 0.500, 0.500], [0.000, 0.000, 0.000], [0.500, 0.500, 0.000], [0.500, 0.000, 0.500]],
  "total_energy_ev_per_atom": -5.044,
  "magmom_total_mub_per_fu": 0.00,
  "formation_energy_uncorrected_kj_per_mol_fu": 261,
  "spacegroup": "Cmmm (65)"
}


7.
{
  "formula": "Si2TcBr",
  "functional": "PBE",
  "state": "relaxed",
  "cell": [[-3.596, -2.297, -2.332], [2.977, -3.734, -0.914], [-0.785, -1.215, 2.406]],
  "species": ["Br", "Si", "Si", "Tc"],
  "frac_coords": [[0.000, 0.500, 0.500], [0.000, 0.000, 0.000], [0.500, 0.500, 0.000], [0.500, 0.000, 0.500]],
  "total_energy_ev_per_atom": -4.981,
  "magmom_total_mub_per_fu": 0.01,
  "formation_energy_uncorrected_kj_per_mol_fu": 286,
  "spacegroup": "P4/mmm (123)"
}


8.
{
  "formula": "SiTc2Br",
  "functional": "PBE",
  "state": "relaxed",
  "cell": [[4.175, 0.000, 0.000], [0.000, 2.946, 0.003], [0.000, 1.379, 6.796]],
  "species": ["Br", "Si", "Tc", "Tc"],
  "frac_coords": [[0.000, 0.501, 0.405], [0.500, 0.939, 0.876], [0.000, 0.792, 0.037], [0.500, 0.269, 0.181]],
  "total_energy_ev_per_atom": -6.540,
  "magmom_total_mub_per_fu": 0.00,
  "formation_energy_uncorrected_kj_per_mol_fu": 161,
  "spacegroup": "Pm (6)"
}


9.
{
  "formula": "SiTcBr2",
  "functional": "PBE",
  "state": "relaxed",
  "cell": [[-0.624, 3.549, -0.559], [-4.162, -1.585, -5.421], [-6.742, -1.430, -1.553]],
  "species": ["Br", "Br", "Si", "Tc"],
  "frac_coords": [[0.000, 0.890, 0.890], [0.000, 0.610, 0.610], [0.500, 0.250, 0.250], [0.500, 0.750, 0.750]],
  "total_energy_ev_per_atom": -4.617,
  "magmom_total_mub_per_fu": 0.78,
  "formation_energy_uncorrected_kj_per_mol_fu": 64,
  "spacegroup": "P2/m (10)"
}


10.
{
  "formula": "SiTcBr2",
  "functional": "PBE",
  "state": "relaxed",
  "cell": [[-0.347, 2.550, -3.598], [1.555, -4.275, -3.060], [-9.229, -1.780, -0.014]],
  "species": ["Si", "Si", "Tc", "Tc", "Br", "Br", "Br", "Br"],
  "frac_coords": [[0.292, 0.595, 0.976], [0.897, 0.854, 0.074], [0.001, 0.308, 0.101], [0.613, 0.536, 0.178], [0.329, 0.559, 0.738], [0.301, 0.258, 0.320], [0.786, 0.779, 0.412], [0.807, 0.067, 0.863]],
  "total_energy_ev_per_atom": -5.004,
  "magmom_total_mub_per_fu": 0.00,
  "formation_energy_uncorrected_kj_per_mol_fu": -85,
  "spacegroup": "P1 (1)"
}


11.
{
  "formula": "Si2TcBr",
  "functional": "PBE",
  "state": "relaxed",
  "cell": [[4.982, 0.000, 0.000], [0.000, 3.648, 0.000], [0.000, 0.000, 3.648]],
  "species": ["Br", "Si", "Si", "Tc"],
  "frac_coords": [[0.500, 0.000, 0.500], [0.000, 0.000, 0.000], [0.000, 0.500, 0.500], [0.500, 0.500, 0.000]],
  "total_energy_ev_per_atom": -4.805,
  "magmom_total_mub_per_fu": 0.45,
  "formation_energy_uncorrected_kj_per_mol_fu": 354,
  "spacegroup": "P4/mmm (123)"
}


12.
{
  "formula": "SiTc2Br",
  "functional": "PBE",
  "state": "relaxed",
  "cell": [[-1.779, 1.181, -5.171], [-5.254, -0.960, -1.664], [3.568, 2.580, 3.452]],
  "species": ["Br", "Si", "Tc", "Tc"],
  "frac_coords": [[0.750, 0.250, 0.500], [0.250, 0.750, 0.500], [0.047, 0.047, 0.000], [0.453, 0.453, 0.000]],
  "total_energy_ev_per_atom": -6.322,
  "magmom_total_mub_per_fu": 0.00,
  "formation_energy_uncorrected_kj_per_mol_fu": 245,
  "spacegroup": "Immm (71)"
}